Entry 1:
A plane-wave DFT calculation with PBE was carried out for a relaxed LiV2Fe crystal.

Results
Magnetic moment ... 0.0 μB per formula unit
DOS(E_F) ... 18.8 states/eV per cell
Total DFT energy (no corrections) ... -6.9283 eV/atom
Relative energy among the computed polymorphs ... 0.00 eV per formula unit
Symmetry ... Fm-3m (225)
DFT formation energy ... 0.225 eV/atom

Cell and atoms, written as POSCAR:
```
LiV2Fe
1.0
5.770 0.000 0.000
0.000 5.770 0.000
0.000 0.000 5.770
Li V Fe
4 8 4
Direct
0.000 0.000 0.000
0.000 0.500 0.500
0.500 0.000 0.500
0.500 0.500 0.000
0.250 0.250 0.250
0.250 0.250 0.750
0.250 0.750 0.250
0.250 0.750 0.750
0.750 0.250 0.250
0.750 0.250 0.750
0.750 0.750 0.250
0.750 0.750 0.750
0.000 0.000 0.500
0.000 0.500 0.000
0.500 0.000 0.000
0.500 0.500 0.500
```

Entry 2:
A plane-wave DFT calculation with PBE was carried out for a relaxed LiVFe crystal.

Results
Magnetic moment ... 0.0 μB per formula unit
DOS(E_F) ... 9.5 states/eV per cell
Total DFT energy (no corrections) ... -6.3159 eV/atom
Symmetry ... P2_1/c (14)
DFT formation energy ... 0.183 eV/atom

Cell and atoms, written as POSCAR:
```
LiVFe
1.0
6.758 0.000 0.000
0.000 4.763 0.000
-0.850 0.000 4.736
Li V Fe
4 4 4
Direct
0.019 0.130 0.265
0.019 0.370 0.765
0.981 0.630 0.235
0.981 0.870 0.735
0.378 0.119 0.644
0.378 0.381 0.144
0.622 0.619 0.856
0.622 0.881 0.356
0.326 0.614 0.575
0.326 0.886 0.075
0.674 0.114 0.925
0.674 0.386 0.425
```

Entry 3:
A plane-wave DFT calculation with PBE was carried out for a relaxed Li3VFe crystal.

Results
Magnetic moment ... 6.3 μB per formula unit
DOS(E_F) ... 5.7 states/eV per cell
Total DFT energy (no corrections) ... -3.4847 eV/atom
Relative energy among the computed polymorphs ... 0.00 eV per formula unit
Symmetry ... Pm-3m (221)
DFT formation energy ... 1.180 eV/atom

Cell and atoms, written as POSCAR:
```
Li3VFe
1.0
4.520 0.000 0.000
0.000 4.520 0.000
0.000 0.000 4.520
Li V Fe
3 1 1
Direct
0.000 0.000 0.500
0.000 0.500 0.000
0.500 0.000 0.000
0.500 0.500 0.500
0.000 0.000 0.000
```